The following is a DFT calculation (PBE) of a geometry-optimized Ga2Cu2Sn structure.

It has space group I4/mmm (No. 139), with a = 3.881 Å, b = 3.881 Å, c = 11.700 Å, α = 90.00°, β = 90.00° and γ = 90.00°. The asymmetric unit holds Ga at (0.000, 0.000, 0.113), Cu at (0.000, 0.500, 0.250) and Sn at (0.000, 0.000, 0.500).

Its density of states at the Fermi level is 4.30 states/eV per cell. For the relative energy among the computed polymorphs, the calculation gives 0.065 eV/atom. The calculation puts the raw total energy at -3.57 eV per atom. The formation energy from the elements is 0.08 eV per atom.